[1]
Dy3TmAl: relaxed, GGA-PBE.

Results
Its excess energy over the best structure of this formula in the dataset is 0.0 meV per atom. The calculation puts the calculated formation energy at -0.1442 eV per atom.

Cell: 3.575 6.670 12.362 Å, 84.85 89.99 74.47°
Sites, in units of the cell vectors:
Dy  0.035  0.430  0.195
Dy  0.141  0.218  0.449
Dy  0.364  0.772  0.021
Dy  0.636  0.228  0.979
Dy  0.859  0.782  0.551
Dy  0.965  0.570  0.805
Tm  0.223  0.053  0.749
Tm  0.777  0.947  0.251
Al  0.448  0.605  0.377
Al  0.552  0.395  0.623

[2]
DyTmAl: relaxed, GGA-PBE.

Results
Its excess energy over the best structure of this formula in the dataset is 219.6 meV per atom. The calculation puts the calculated formation energy at -0.0386 eV per atom.

Cell: 8.122 8.122 8.122 Å, 24.36 24.36 24.36°
Sites, in units of the cell vectors:
Dy  0.000  0.000  0.000
Tm  0.208  0.208  0.208
Al  0.773  0.773  0.773

[3]
Dy3TmAl8: relaxed, GGA-PBE.

Results
Its excess energy over the best structure of this formula in the dataset is 8.9 meV per atom. The calculation puts the calculated formation energy at -0.5048 eV per atom.

Cell: 5.540 5.540 9.090 Å, 90.00 90.00 120.00°
Sites, in units of the cell vectors:
Dy  0.000  0.000  0.000
Dy  0.000  0.000  0.365
Dy  0.333  0.667  0.864
Tm  0.333  0.667  0.499
Al  0.009  0.505  0.182
Al  0.324  0.162  0.681
Al  0.495  0.505  0.182
Al  0.495  0.991  0.182
Al  0.667  0.333  0.432
Al  0.667  0.333  0.931
Al  0.838  0.162  0.681
Al  0.838  0.676  0.681

[4]
DyTm2Al: relaxed, GGA-PBE.

Results
Its excess energy over the best structure of this formula in the dataset is 169.8 meV per atom. The calculation puts the calculated formation energy at -0.0300 eV per atom.

Cell: 5.297 5.297 5.297 Å, 60.00 60.00 60.00°
Sites, in units of the cell vectors:
Dy  0.000  0.000  0.000
Tm  0.250  0.250  0.250
Tm  0.750  0.750  0.750
Al  0.500  0.500  0.500

N(E_F)
In order: 12.9, 3.6, 5.7, 6.3
Unit: states/eV/cell
Density
In order: 8.03, 7.43, 6.00, 8.33
Unit: Mg/m³